A plane-wave DFT calculation with PBE was carried out for an optimized crystal structure of ZnPbCl6.

a b c (Å): 6.2750 6.2750 17.1843
angles (deg): 90.00 90.00 120.00
Closest atoms and distances in Å follow each position.
Space group R-3 (No. 148, hexagonal axes)
Unique sites:
Zn 0.0000 0.0000 0.0000 (multiplicity 3)  6 Cl 2.48
Pb 0.0000 0.0000 0.5000 (multiplicity 3)  6 Cl 2.60
Cl 0.0029 0.6603 0.5862 (multiplicity 18)  1 Zn 2.48, 1 Pb 2.60

A plane-wave DFT calculation with PBE was carried out for an optimized crystal structure of FeH.

Results
M_tot (μB per atom): 1.014

a b c (Å): 3.7590 3.7590 3.7590
angles (deg): 90.00 90.00 90.00
Closest atoms and distances in Å follow each position.
Space group F-43m (No. 216)
Unique sites:
Fe 0.0000 0.0000 0.0000 (multiplicity 4)  4 H 1.63
H 0.2500 0.2500 0.7500 (multiplicity 4)  4 Fe 1.63

A plane-wave DFT calculation with PBE was carried out for an optimized crystal structure of NpGaCo.

Results
M_tot (μB per atom): 1.121

a b c (Å): 6.0182 6.0182 6.0182
angles (deg): 90.00 90.00 90.00
Closest atoms and distances in Å follow each position.
Space group F-43m (No. 216)
Unique sites:
Np 0.0000 0.0000 0.0000 (multiplicity 4)  4 Co 2.61
Ga 0.0000 0.0000 0.5000 (multiplicity 4)  4 Co 2.61
Co 0.2500 0.2500 0.7500 (multiplicity 4)  4 Np 2.61, 4 Ga 2.61

A plane-wave DFT calculation with PBE was carried out for an optimized crystal structure of SrIr2.

Results
M_tot (μB per atom): 0.058

a b c (Å): 7.7519 7.7519 7.7519
angles (deg): 90.00 90.00 90.00
Closest atoms and distances in Å follow each position.
Space group Fd-3m (No. 227, origin choice 2)
Unique sites:
Sr 0.1250 0.1250 0.1250 (multiplicity 8)  12 Ir 3.21, 4 Sr 3.36
Ir 0.0000 0.0000 0.5000 (multiplicity 16)  6 Ir 2.74

A plane-wave DFT calculation with PBE was carried out for an optimized crystal structure of Co28Ni.

Results
ΔE_f (eV per formula unit): 1.43
M_tot (μB per atom): 1.611

a b c (Å): 8.5692 8.5692 8.5692
angles (deg): 90.00 90.00 90.00
Closest atoms and distances in Å follow each position.
Space group I-43m (No. 217)
Unique sites:
Co 0.0398 0.3580 0.6420 (multiplicity 24)  12 Co 2.30-2.57
Co 0.0908 0.0908 0.7185 (multiplicity 24)  6 Co 2.20-2.42
Co 0.1798 0.1798 0.1798 (multiplicity 8)  9 Co 2.45-2.59, 1 Ni 2.67
Ni 0.0000 0.0000 0.0000 (multiplicity 2)  16 Co 2.65-2.67

A plane-wave DFT calculation with PBE was carried out for an optimized crystal structure of Lu2NiB.

Results
Energy above the lowest structure with this stoichiometry (eV per atom): 0.4956
M_tot (μB per atom): 0.004

a b c (Å): 6.3219 6.3219 6.3219
angles (deg): 90.00 90.00 90.00
Closest atoms and distances in Å follow each position.
Space group F-43m (No. 216)
Unique sites:
Lu 0.0000 0.0000 0.0000 (multiplicity 4)  4 Lu 2.74, 4 Ni 2.74
Lu 0.2500 0.2500 0.2500 (multiplicity 4)  4 B 2.74, 4 Lu 2.74
Ni 0.2500 0.2500 0.7500 (multiplicity 4)  4 B 2.74, 4 Lu 2.74
B 0.0000 0.0000 0.5000 (multiplicity 4)  4 Ni 2.74, 4 Lu 2.74

Results for electronic total energy: -2.714, -5.737, -7.624, -6.729, -7.004, -4.841 (in eV per atom, following the order of the records).